Material: TcC
Method: DFT, PBE
State: relaxed

Output
The mass density is 7.8 g cm⁻³. The energy relative to the lowest polymorph listed for this composition is 444 meV/atom. The calculation puts the total energy at -9.13 eV per atom. As for the space group: Pm-3m, No. 221.

Cell: 4.1201 4.1201 4.1201 Å, 90.00 90.00 90.00°
Closest atoms and distances in Å follow each position.
Fractional positions:
Tc 0.0000 0.0000 0.5000  4 C 2.06
Tc 0.0000 0.5000 0.0000  4 C 2.06
Tc 0.5000 0.0000 0.0000  4 C 2.06
C 0.0000 0.5000 0.5000  4 Tc 2.06
C 0.5000 0.0000 0.5000  4 Tc 2.06
C 0.5000 0.5000 0.0000  4 Tc 2.06

***

Material: TcC2
Method: DFT, PBE
State: relaxed

Output
The mass density is 7.4 g cm⁻³. The energy relative to the lowest polymorph listed for this composition is 769 meV/atom. The calculation puts the total energy at -8.38 eV per atom. As for the space group: Cmmm, No. 65.

Cell: 7.8560 7.8560 2.7192 Å, 90.00 90.00 161.07°
Closest atoms and distances in Å follow each position.
Fractional positions:
Tc 0.1148 0.8852 0.0000  6 C 2.20-2.24
Tc 0.8852 0.1148 0.0000  6 C 2.20-2.24
C 0.0000 0.0000 0.5000  4 C 1.88
C 0.2263 0.7737 0.5000  2 C 1.49
C 0.5000 0.5000 0.0000  4 C 1.88
C 0.7737 0.2263 0.5000  2 C 1.49

***

Material: Tc3C
Method: DFT, PBE
State: relaxed

Output
The mass density is 10.1 g cm⁻³. The energy relative to the lowest polymorph listed for this composition is 141 meV/atom. The calculation puts the total energy at -9.93 eV per atom. As for the space group: Cmcm, No. 63.

Cell: 5.9885 5.9885 2.8444 Å, 90.00 90.00 100.03°
Closest atoms and distances in Å follow each position.
Fractional positions:
Tc 0.1203 0.8797 0.7500  2 C 2.17
Tc 0.1793 0.4476 0.7500  2 C 2.11
Tc 0.4476 0.1793 0.2500  2 C 2.11
Tc 0.5524 0.8207 0.7500  2 C 2.11
Tc 0.8207 0.5524 0.2500  2 C 2.11
Tc 0.8797 0.1203 0.2500  2 C 2.17
C 0.2990 0.7010 0.2500  6 Tc 2.11-2.17
C 0.7010 0.2990 0.7500  6 Tc 2.11-2.17

***

Material: TcC2
Method: DFT, PBE
State: relaxed

Output
The mass density is 6.3 g cm⁻³. The energy relative to the lowest polymorph listed for this composition is 940 meV/atom. The calculation puts the total energy at -8.21 eV per atom. As for the space group: Pa-3, No. 205.

Cell: 5.0412 5.0412 5.0412 Å, 90.00 90.00 90.00°
Closest atoms and distances in Å follow each position.
Fractional positions:
Tc 0.0000 0.0000 0.0000  6 C 2.20
Tc 0.0000 0.5000 0.5000  6 C 2.20
Tc 0.5000 0.0000 0.5000  6 C 2.20
Tc 0.5000 0.5000 0.0000  6 C 2.20
C 0.0779 0.5779 0.9221  1 C 1.36
C 0.0779 0.9221 0.4221  1 C 1.36
C 0.4221 0.0779 0.9221  1 C 1.36
C 0.4221 0.4221 0.4221  1 C 1.36
C 0.5779 0.5779 0.5779  1 C 1.36
C 0.5779 0.9221 0.0779  1 C 1.36
C 0.9221 0.0779 0.5779  1 C 1.36
C 0.9221 0.4221 0.0779  1 C 1.36

***

Material: Tc5C7
Method: DFT, PBE
State: relaxed

Output
The mass density is 7.8 g cm⁻³. The calculation puts the total energy at -8.97 eV per atom. As for the space group: I4mm, No. 107.

Cell: 5.4875 5.4875 5.4875 Å, 103.18 103.18 122.94°
Closest atoms and distances in Å follow each position.
Fractional positions:
Tc 0.0000 0.0000 0.0000  5 C 2.10-2.16
Tc 0.3950 0.3950 0.6053  5 C 2.15-2.32
Tc 0.3950 0.7897 0.0000  5 C 2.15-2.32
Tc 0.7897 0.3950 0.0000  5 C 2.15-2.32
Tc 0.7897 0.7897 0.3947  5 C 2.15-2.32
C 0.1976 0.8914 0.3061  1 C 1.35
C 0.4015 0.4015 0.0000  5 Tc 2.10-2.15
C 0.4459 0.9459 0.5000  2 C 1.35
C 0.5853 0.8914 0.6939  1 C 1.35
C 0.8914 0.1976 0.3061  1 C 1.35
C 0.8914 0.5853 0.6939  1 C 1.35
C 0.9459 0.4459 0.5000  2 C 1.35

***

Material: TcC5
Method: DFT, PBE
State: relaxed

Output
The mass density is 4.7 g cm⁻³. The energy relative to the lowest polymorph listed for this composition is 1934 meV/atom. The calculation puts the total energy at -6.76 eV per atom. As for the space group: P-62m, No. 189.

Cell: 3.7941 3.7941 4.4598 Å, 90.00 90.00 120.00°
Closest atoms and distances in Å follow each position.
Fractional positions:
Tc 0.0000 0.0000 0.0000  12 C 2.19-2.38
C 0.0000 0.7782 0.5000  2 C 1.46
C 0.2218 0.2218 0.5000  2 C 1.46
C 0.3333 0.6667 0.0000  3 Tc 2.19, 3 C 2.19
C 0.6667 0.3333 0.0000  3 Tc 2.19, 3 C 2.19
C 0.7782 0.0000 0.5000  2 C 1.46

***

Material: TcC
Method: DFT, PBE
State: relaxed

Output
The mass density is 8.6 g cm⁻³. The energy relative to the lowest polymorph listed for this composition is 1300 meV/atom. The calculation puts the total energy at -8.27 eV per atom. As for the space group: P6_3/mmc, No. 194.

Cell: 3.1861 3.1861 9.6339 Å, 90.00 90.00 120.00°
Closest atoms and distances in Å follow each position.
Fractional positions:
Tc 0.3333 0.6667 0.1165  6 C 2.24
Tc 0.3333 0.6667 0.3835  6 C 2.24
Tc 0.6667 0.3333 0.6165  6 C 2.24
Tc 0.6667 0.3333 0.8835  6 C 2.24
C 0.0000 0.0000 0.2500  3 C 1.84
C 0.0000 0.0000 0.7500  3 C 1.84
C 0.3333 0.6667 0.7500  3 C 1.84
C 0.6667 0.3333 0.2500  3 C 1.84

***

Material: TcC3
Method: DFT, PBE
State: relaxed

Output
The mass density is 6.2 g cm⁻³. The energy relative to the lowest polymorph listed for this composition is 1605 meV/atom. The calculation puts the total energy at -7.12 eV per atom. As for the space group: R-3m, No. 166.

Cell: 3.8267 3.8267 3.8267 Å, 113.20 113.20 113.20°
Closest atoms and distances in Å follow each position.
Fractional positions:
Tc 0.0000 0.0000 0.0000  6 C 2.11
C 0.0000 0.5000 0.5000  4 C 2.11, 2 Tc 2.11
C 0.5000 0.0000 0.5000  2 Tc 2.11, 4 C 2.11
C 0.5000 0.5000 0.0000  4 C 2.11, 2 Tc 2.11

***

no.,N(E_F) (states/eV/cell),formation enthalpy at 0 K (meV/atom)
1,6.153,664
2,3.231,1226
3,3.920,151
4,9.032,1396
5,8.224,725
6,2.972,2654
7,9.274,1520
8,1.545,2386